No. 1
First-principles (PBEsol) data for a relaxed structure of ScCrPt2Pb, as listed in Alexandria.

## Properties
calculated volume	20.7	Å³ per atom
final energy	-32.44	eV/cell
total magnetization	0.004	μB/cell
Fermi-level density of states	4.97	states/eV/f.u.

Structure (CIF):
```
data_ScCrPt2Pb
_chemical_formula_sum 'Sc1 Cr1 Pt2 Pb1'
_space_group_name_H-M_alt 'P 4/m m m'
_space_group_IT_number 123
_space_group_name_Hall '-P 4 2'
_cell_length_a 4.609
_cell_length_b 4.609
_cell_length_c 4.865
_cell_angle_alpha 90.00
_cell_angle_beta 90.00
_cell_angle_gamma 90.00
loop_
_atom_site_label
_atom_site_type_symbol
_atom_site_fract_x
_atom_site_fract_y
_atom_site_fract_z
_atom_site_occupancy
Sc1 Sc 0.000 0.000 0.000 1
Cr1 Cr 0.500 0.500 0.500 1
Pt1 Pt 0.000 0.500 0.500 1
Pb1 Pb 0.500 0.500 0.000 1
```

=====

No. 2
First-principles (PBEsol) data for a relaxed structure of CrRe2Pb, as listed in Alexandria.

## Properties
calculated volume	16.2	Å³ per atom
final energy	-38.24	eV/cell
total magnetization	0.002	μB/cell
Fermi-level density of states	3.92	states/eV/f.u.

Structure (CIF):
```
data_CrRe2Pb
_chemical_formula_sum 'Cr1 Re2 Pb1'
_space_group_name_H-M_alt 'P m m 2'
_space_group_IT_number 25
_cell_length_a 2.899
_cell_length_b 3.918
_cell_length_c 5.721
_cell_angle_alpha 90.00
_cell_angle_beta 90.00
_cell_angle_gamma 90.00
loop_
_space_group_symop_operation_xyz
'x,y,z'
'-x,-y,z'
'-x,y,z'
'x,-y,z'
loop_
_atom_site_label
_atom_site_type_symbol
_atom_site_fract_x
_atom_site_fract_y
_atom_site_fract_z
_atom_site_occupancy
Cr1 Cr 0.000 0.000 0.000 1
Re1 Re 0.000 0.000 0.398 1
Re2 Re 0.500 0.500 0.203 1
Pb1 Pb 0.500 0.500 0.713 1
```

=====

No. 3
First-principles (PBEsol) data for a relaxed structure of CrRe2Pb, as listed in Alexandria.

## Properties
calculated volume	15.5	Å³ per atom
final energy	-75.47	eV/cell
total magnetization	0.538	μB/cell
Fermi-level density of states	3.55	states/eV/f.u.

Structure (CIF):
```
data_CrRe2Pb
_chemical_formula_sum 'Cr2 Re4 Pb2'
_space_group_name_H-M_alt 'I m m m'
_space_group_IT_number 71
_space_group_name_Hall '-I 2 2'
_cell_length_a 3.136
_cell_length_b 4.357
_cell_length_c 9.070
_cell_angle_alpha 90.00
_cell_angle_beta 90.00
_cell_angle_gamma 90.00
loop_
_atom_site_label
_atom_site_type_symbol
_atom_site_fract_x
_atom_site_fract_y
_atom_site_fract_z
_atom_site_occupancy
Cr1 Cr 0.000 0.000 0.000 1
Re1 Re 0.000 0.500 0.261 1
Pb1 Pb 0.000 0.000 0.500 1
```

=====

No. 4
First-principles (PBEsol) data for a relaxed structure of CrRe2Pb, as listed in Alexandria.

## Properties
calculated volume	16.3	Å³ per atom
final energy	-114.04	eV/cell
total magnetization	0.083	μB/cell
Fermi-level density of states	4.28	states/eV/f.u.

Structure (CIF):
```
data_CrRe2Pb
_chemical_formula_sum 'Cr3 Re6 Pb3'
_space_group_name_H-M_alt 'R 3 m'
_space_group_IT_number 160
_space_group_name_Hall 'R 3 -2"'
_cell_length_a 2.9149
_cell_length_b 2.9149
_cell_length_c 26.5234
_cell_angle_alpha 90.00
_cell_angle_beta 90.00
_cell_angle_gamma 120.00
loop_
_atom_site_label
_atom_site_type_symbol
_atom_site_fract_x
_atom_site_fract_y
_atom_site_fract_z
_atom_site_occupancy
Cr1 Cr 0.0000 0.0000 0.0000 1
Re1 Re 0.0000 0.0000 0.2645 1
Re2 Re 0.0000 0.0000 0.5193 1
Pb1 Pb 0.0000 0.0000 0.7569 1
```